Computed, not measured: a relaxed structure of SrSc2Os at the PBE level of DFT.

abc: 4.6871 3.6202 6.7561
angles: 74.53 90.00 90.00
Closest atoms and distances in Å follow each position.
Element x y z (fractional)
Sr  0.0000  0.5375  0.5486  3 Sc 3.40-3.63, 4 Os 3.49, 2 Sr 3.62
Sc  0.5000  0.2484  0.1291  2 Os 2.65
Sc  0.0000  0.8173  0.9913  2 Os 2.57
Os  0.5000  0.8968  0.8310  4 Sc 2.57-2.65

The total energy is -24.9 eV/f.u.